# LiZnHg2 GGA-PBE relaxed
data_LiZnHg2
_space_group_name_H-M_alt 'P 1'
_space_group_IT_number 1
_cell_length_a 6.181
_cell_length_b 6.181
_cell_length_c 6.181
_cell_angle_alpha 104.09
_cell_angle_beta 104.09
_cell_angle_gamma 120.87
loop_
_space_group_symop_operation_xyz
'x,y,z'
loop_
_atom_site_label
_atom_site_type_symbol
_atom_site_fract_x
_atom_site_fract_y
_atom_site_fract_z
Li1 Li 0.000 0.000 0.000
Li2 Li 0.750 0.250 0.500
Zn1 Zn 0.250 0.750 0.500
Zn2 Zn 0.500 0.500 0.000
Hg1 Hg 0.129 0.625 0.004
Hg2 Hg 0.375 0.379 0.504
Hg3 Hg 0.621 0.125 0.996
Hg4 Hg 0.875 0.871 0.496
# - Spin magnetization: 0.0 μB per cell
# - ρ: 8.9 g/cm³
# - Formation enthalpy at 0 K: -45 meV/atom
# - Energy: -0.99 eV per atom

=====

# CaGd2Co GGA-PBE relaxed
data_CaGd2Co
_space_group_name_H-M_alt 'P 1'
_space_group_IT_number 1
_cell_length_a 11.300
_cell_length_b 11.300
_cell_length_c 11.300
_cell_angle_alpha 17.63
_cell_angle_beta 17.63
_cell_angle_gamma 17.63
loop_
_space_group_symop_operation_xyz
'x,y,z'
loop_
_atom_site_label
_atom_site_type_symbol
_atom_site_fract_x
_atom_site_fract_y
_atom_site_fract_z
Ca1 Ca 0.000 0.000 0.000
Gd1 Gd 0.428 0.428 0.428
Gd2 Gd 0.572 0.572 0.572
Co1 Co 0.500 0.500 0.500
# - Offset from the most stable computed form: 610.8 meV per atom
# - Spin magnetization: 15.5 μB per cell
# - ρ: 5.9 g/cm³
# - Formation enthalpy at 0 K: 576 meV/atom
# - Energy: -8.74 eV per atom

=====

# WCl GGA-PBE relaxed
data_WCl
_space_group_name_H-M_alt 'P 1'
_space_group_IT_number 1
_cell_length_a 3.123
_cell_length_b 9.481
_cell_length_c 9.097
_cell_angle_alpha 90.00
_cell_angle_beta 90.00
_cell_angle_gamma 90.00
loop_
_space_group_symop_operation_xyz
'x,y,z'
loop_
_atom_site_label
_atom_site_type_symbol
_atom_site_fract_x
_atom_site_fract_y
_atom_site_fract_z
W1 W 0.250 0.018 0.113
W2 W 0.250 0.482 0.113
W3 W 0.250 0.750 0.919
W4 W 0.750 0.250 0.081
W5 W 0.750 0.518 0.887
W6 W 0.750 0.982 0.887
Cl1 Cl 0.250 0.082 0.702
Cl2 Cl 0.250 0.250 0.292
Cl3 Cl 0.250 0.418 0.702
Cl4 Cl 0.750 0.582 0.298
Cl5 Cl 0.750 0.750 0.708
Cl6 Cl 0.750 0.918 0.298
# - Offset from the most stable computed form: 183.5 meV per atom
# - Formation energy (no corrections): -0.0599 eV/atom
# - Spin magnetization: 0.0 μB per cell
# - ρ: 8.1 g/cm³
# - Energy: -7.46 eV per atom